Compound: BiAsSe2
Source: Alexandria via LeMat-Bulk
Functional: PBE
Structure: optimized geometry

Results
The calculation puts the formation energy (no corrections) at 0.194 eV per atom. The space group is Fm-3m (225). Its density is 8.0 g/cm³. For the raw total energy, the calculation gives -3.681 eV per atom. The offset from the most stable computed form is 91 kJ/mol of formula units. As for the total magnetic moment: 0.00 μB per formula unit. The crystal system is cubic.

```
data_BiAsSe2
_symmetry_space_group_name_H-M 'P 1'
_symmetry_Int_Tables_number 1
_cell_length_a 5.052
_cell_length_b 5.052
_cell_length_c 5.052
_cell_angle_alpha 60.00
_cell_angle_beta 60.00
_cell_angle_gamma 60.00
loop_
_symmetry_equiv_pos_as_xyz
'x,y,z'
loop_
_atom_site_label
_atom_site_fract_x
_atom_site_fract_y
_atom_site_fract_z
As1 0.000 0.000 0.000
Bi1 0.500 0.500 0.500
Se1 0.250 0.250 0.250
Se2 0.750 0.750 0.750
```

---

Compound: Bi3As2Se2
Source: Alexandria via LeMat-Bulk
Functional: PBE
Structure: optimized geometry

Results
The calculation puts the formation energy (no corrections) at -0.094 eV per atom. The space group is P-1 (2). Its density is 6.8 g/cm³. For the raw total energy, the calculation gives -4.081 eV per atom. As for the total magnetic moment: 0.00 μB per formula unit. The crystal system is triclinic.

```
data_Bi3As2Se2
_symmetry_space_group_name_H-M 'P 1'
_symmetry_Int_Tables_number 1
_cell_length_a 4.225
_cell_length_b 6.805
_cell_length_c 8.719
_cell_angle_alpha 103.03
_cell_angle_beta 91.84
_cell_angle_gamma 110.59
loop_
_symmetry_equiv_pos_as_xyz
'x,y,z'
loop_
_atom_site_label
_atom_site_fract_x
_atom_site_fract_y
_atom_site_fract_z
Bi1 0.000 0.000 0.000
Bi2 0.734 0.530 0.264
Bi3 0.266 0.470 0.736
As1 0.666 0.307 0.946
As2 0.334 0.693 0.054
Se1 0.886 0.744 0.667
Se2 0.114 0.256 0.333
```

---

Compound: Bi2As2Se
Source: Alexandria via LeMat-Bulk
Functional: PBE
Structure: optimized geometry

Results
The calculation puts the formation energy (no corrections) at 0.223 eV per atom. The space group is P4/mbm (127). Its density is 8.4 g/cm³. For the raw total energy, the calculation gives -3.886 eV per atom. The offset from the most stable computed form is 60 kJ/mol of formula units. As for the total magnetic moment: 0.00 μB per formula unit. The crystal system is tetragonal.

```
data_Bi2As2Se
_symmetry_space_group_name_H-M 'P 1'
_symmetry_Int_Tables_number 1
_cell_length_a 7.944
_cell_length_b 7.944
_cell_length_c 4.058
_cell_angle_alpha 90.00
_cell_angle_beta 90.00
_cell_angle_gamma 90.00
loop_
_symmetry_equiv_pos_as_xyz
'x,y,z'
loop_
_atom_site_label
_atom_site_fract_x
_atom_site_fract_y
_atom_site_fract_z
As1 0.336 0.836 0.000
As2 0.836 0.664 0.000
As3 0.664 0.164 0.000
As4 0.164 0.336 0.000
Bi1 0.154 0.654 0.500
Bi2 0.654 0.846 0.500
Bi3 0.846 0.346 0.500
Bi4 0.346 0.154 0.500
Se1 0.000 0.000 0.000
Se2 0.500 0.500 0.000
```

---

Compound: BiAsSe3
Source: Alexandria via LeMat-Bulk
Functional: PBE
Structure: optimized geometry

Results
The calculation puts the formation energy (no corrections) at 0.249 eV per atom. The space group is Pm-3m (221). Its density is 6.8 g/cm³. For the raw total energy, the calculation gives -3.548 eV per atom. The offset from the most stable computed form is 225 kJ/mol of formula units. As for the total magnetic moment: 0.00 μB per formula unit. The crystal system is cubic.

```
data_BiAsSe3
_symmetry_space_group_name_H-M 'P 1'
_symmetry_Int_Tables_number 1
_cell_length_a 5.034
_cell_length_b 5.034
_cell_length_c 5.034
_cell_angle_alpha 90.00
_cell_angle_beta 90.00
_cell_angle_gamma 90.00
loop_
_symmetry_equiv_pos_as_xyz
'x,y,z'
loop_
_atom_site_label
_atom_site_fract_x
_atom_site_fract_y
_atom_site_fract_z
As1 0.000 0.000 0.000
Bi1 0.500 0.500 0.500
Se1 0.000 0.500 0.000
Se2 0.000 0.000 0.500
Se3 0.500 0.000 0.000
```

---

What is the formula in the first record? BiAsSe2